Entry 1:
The following is a PBE-GGA calculation of a relaxed structure of TiNb2H4, from the Alexandria database. Values from VASP.

Properties
- crystal system = tetragonal
- electronic total energy (eV/atom) = -5.995
- excess energy over the best structure of this formula in the dataset (eV/atom) = 0.137
- symmetry = I4/mmm

Cell and atoms, written as Quantum ESPRESSO input:
```
&SYSTEM
  ibrav = 0, nat = 7, ntyp = 3
/
ATOMIC_SPECIES
Nb 92.91 Nb.upf
H 1.01 H.upf
Ti 47.87 Ti.upf
CELL_PARAMETERS angstrom
-1.909 1.904 2.052
-2.551 -2.206 -0.326
-0.386 -2.917 5.144
ATOMIC_POSITIONS angstrom
Nb -3.209 -2.178 4.631
Nb -1.637 -1.040 2.240
H -1.276 -1.103 -0.163
H -1.003 -1.992 3.713
H -0.954 0.952 1.026
H -3.843 -1.227 3.158
Ti 0.000 0.000 0.000
```


Entry 2:
The following is a PBE-GGA calculation of a relaxed structure of TiTeBrN2, from the Alexandria database. Values from VASP.

Properties
- crystal system = tetragonal
- electronic total energy (eV/atom) = -4.637
- excess energy over the best structure of this formula in the dataset (eV/atom) = 0.787
- symmetry = P4/mmm

Cell and atoms, written as Quantum ESPRESSO input:
```
&SYSTEM
  ibrav = 0, nat = 5, ntyp = 4
/
ATOMIC_SPECIES
Te 127.60 Te.upf
Ti 47.87 Ti.upf
N 14.01 N.upf
Br 79.90 Br.upf
CELL_PARAMETERS angstrom
-1.621 1.174 3.487
-4.594 -3.172 -1.067
1.726 -3.123 1.853
ATOMIC_POSITIONS angstrom
Te 0.000 0.000 0.000
Ti -2.297 -1.586 -0.533
N 0.863 -1.561 0.927
N -0.810 0.587 1.744
Br -2.244 -2.560 2.137
```


Entry 3:
The following is a PBE-GGA calculation of a relaxed structure of PmTlPt, from the Alexandria database. Values from VASP.

Properties
- ΔE_f (kJ per mole of atoms) = -65.3
- crystal system = cubic
- electronic total energy (eV/atom) = -5.063
- excess energy over the best structure of this formula in the dataset (eV/atom) = 0.095
- symmetry = F-43m

Cell and atoms, written as Quantum ESPRESSO input:
```
&SYSTEM
  ibrav = 0, nat = 3, ntyp = 3
/
ATOMIC_SPECIES
Tl 204.38 Tl.upf
Pm 145.00 Pm.upf
Pt 195.08 Pt.upf
CELL_PARAMETERS angstrom
-0.883 0.691 4.708
-1.321 -3.730 2.787
3.061 -1.746 3.318
ATOMIC_POSITIONS angstrom
Tl 0.000 0.000 0.000
Pm 0.429 -2.392 5.406
Pt 0.214 -1.196 2.703
```


Entry 4:
The following is a PBE-GGA calculation of a relaxed structure of Rb5NaHg, from the Alexandria database. Values from VASP.

Properties
- ΔE_f (kJ per mole of atoms) = -2.8
- crystal system = monoclinic
- electronic total energy (eV/atom) = -0.952
- symmetry = C2/c

Cell and atoms, written as Quantum ESPRESSO input:
```
&SYSTEM
  ibrav = 0, nat = 14, ntyp = 3
/
ATOMIC_SPECIES
Na 22.99 Na.upf
Rb 85.47 Rb.upf
Hg 200.59 Hg.upf
CELL_PARAMETERS angstrom
-7.750 4.061 -0.043
-1.982 -5.068 6.851
6.174 9.131 6.926
ATOMIC_POSITIONS angstrom
Na -0.467 6.711 8.323
Na -3.091 1.413 5.412
Rb -2.366 9.717 6.052
Rb 0.555 3.445 5.957
Rb 2.741 9.436 8.343
Rb -6.300 -1.312 5.391
Rb -1.192 -1.593 7.682
Rb -4.114 4.679 7.778
Rb 3.373 4.960 10.255
Rb -2.867 5.387 3.022
Rb -6.932 3.164 3.479
Rb -0.691 2.738 10.712
Hg 3.087 4.566 3.463
Hg 0.000 0.000 0.000
```


Entry 5:
The following is a PBE-GGA calculation of a relaxed structure of Tb12Co6Rh, from the Alexandria database. Values from VASP.

Properties
- ΔE_f (kJ per mole of atoms) = -20.9
- crystal system = cubic
- electronic total energy (eV/atom) = -5.771
- symmetry = Im-3

Cell and atoms, written as Quantum ESPRESSO input:
```
&SYSTEM
  ibrav = 0, nat = 19, ntyp = 3
/
ATOMIC_SPECIES
Rh 102.91 Rh.upf
Co 58.93 Co.upf
Tb 158.93 Tb.upf
CELL_PARAMETERS angstrom
-8.138 0.936 -1.234
4.144 3.004 -6.513
1.747 -8.046 0.912
ATOMIC_POSITIONS angstrom
Rh 0.000 0.000 0.000
Co -2.731 1.154 -3.910
Co -2.519 -4.134 -0.804
Co 0.484 -5.259 -2.925
Co 2.487 -2.068 -3.690
Co 0.272 0.028 -6.031
Co -4.734 -2.037 -3.145
Tb -2.672 -1.361 -1.585
Tb 0.527 -2.869 -1.731
Tb -0.575 -5.903 -0.320
Tb -5.154 0.800 -2.841
Tb 0.425 -2.744 -5.250
Tb 3.007 0.128 -5.120
Tb -0.058 0.205 -3.385
Tb -2.189 -4.311 -3.450
Tb -1.671 1.797 -6.515
Tb -5.254 -4.234 -1.715
Tb 2.907 -4.905 -3.994
Tb -2.774 -1.236 -5.104
```


Entry 6:
The following is a PBE-GGA calculation of a relaxed structure of Th2Hg3, from the Alexandria database. Values from VASP.

Properties
- ΔE_f (kJ per mole of atoms) = -15.1
- crystal system = trigonal
- electronic total energy (eV/atom) = -3.305
- excess energy over the best structure of this formula in the dataset (eV/atom) = 0.066
- symmetry = R-3m

Cell and atoms, written as Quantum ESPRESSO input:
```
&SYSTEM
  ibrav = 0, nat = 5, ntyp = 2
/
ATOMIC_SPECIES
Hg 200.59 Hg.upf
Th 232.04 Th.upf
CELL_PARAMETERS angstrom
-1.666 4.238 2.421
-4.436 -0.107 2.628
0.880 -0.249 6.535
ATOMIC_POSITIONS angstrom
Hg -0.795 0.686 3.746
Hg 0.000 0.000 0.000
Hg -4.426 3.196 7.838
Th -1.770 1.472 7.193
Th -3.452 2.410 4.392
```


Entry 7:
The following is a PBE-GGA calculation of a relaxed structure of Rb2PuTlBr5, from the Alexandria database. Values from VASP.

Properties
- crystal system = tetragonal
- electronic total energy (eV/atom) = -4.370
- symmetry = P4/mmm

Cell and atoms, written as Quantum ESPRESSO input:
```
&SYSTEM
  ibrav = 0, nat = 9, ntyp = 4
/
ATOMIC_SPECIES
Br 79.90 Br.upf
Pu 244.00 Pu.upf
Rb 85.47 Rb.upf
Tl 204.38 Tl.upf
CELL_PARAMETERS angstrom
-0.423 -4.739 3.154
3.275 2.384 4.022
-10.038 4.542 5.480
ATOMIC_POSITIONS angstrom
Br -7.433 3.363 4.058
Br -3.381 3.463 4.751
Br -5.230 -0.099 4.317
Br 1.426 -1.177 3.588
Br -2.605 1.179 1.422
Pu -5.019 2.271 2.740
Rb -1.340 0.074 5.098
Rb -5.845 2.113 7.558
Tl 0.000 0.000 0.000
```


Entry 8:
The following is a PBE-GGA calculation of a relaxed structure of Tl2RuPb, from the Alexandria database. Values from VASP.

Properties
- ΔE_f (kJ per mole of atoms) = 92.0
- crystal system = tetragonal
- electronic total energy (eV/atom) = -3.476
- excess energy over the best structure of this formula in the dataset (eV/atom) = 0.659
- symmetry = I-42d

Cell and atoms, written as Quantum ESPRESSO input:
```
&SYSTEM
  ibrav = 0, nat = 8, ntyp = 3
/
ATOMIC_SPECIES
Pb 207.20 Pb.upf
Tl 204.38 Tl.upf
Ru 101.07 Ru.upf
CELL_PARAMETERS angstrom
6.644 0.000 0.000
0.000 6.644 0.000
3.322 3.322 6.464
ATOMIC_POSITIONS angstrom
Pb 6.644 3.322 3.232
Pb 0.000 0.000 0.000
Tl 2.141 4.983 1.616
Tl 4.503 1.661 1.616
Tl 8.305 7.825 4.848
Tl 4.983 5.463 4.848
Ru 3.322 6.644 3.232
Ru 3.322 3.322 0.000
```


Entry 9:
The following is a PBE-GGA calculation of a relaxed structure of PrSm2Pu, from the Alexandria database. Values from VASP.

Properties
- ΔE_f (kJ per mole of atoms) = 11.0
- crystal system = tetragonal
- electronic total energy (eV/atom) = -7.023
- excess energy over the best structure of this formula in the dataset (eV/atom) = 0.000
- symmetry = P4/mmm

Cell and atoms, written as Quantum ESPRESSO input:
```
&SYSTEM
  ibrav = 0, nat = 4, ntyp = 3
/
ATOMIC_SPECIES
Sm 150.36 Sm.upf
Pr 140.91 Pr.upf
Pu 244.00 Pu.upf
CELL_PARAMETERS angstrom
-0.819 -3.476 -0.193
1.076 -0.442 3.382
-9.490 2.053 3.288
ATOMIC_POSITIONS angstrom
Sm -2.484 0.537 0.861
Sm -7.006 1.515 2.427
Pr 0.129 -1.959 1.594
Pu -4.616 -0.933 3.239
```


Entry 10:
The following is a PBE-GGA calculation of a relaxed structure of Na2Te2C, from the Alexandria database. Values from VASP.

Properties
- crystal system = tetragonal
- electronic total energy (eV/atom) = -3.030
- excess energy over the best structure of this formula in the dataset (eV/atom) = 0.163
- symmetry = P4/mbm

Cell and atoms, written as Quantum ESPRESSO input:
```
&SYSTEM
  ibrav = 0, nat = 10, ntyp = 3
/
ATOMIC_SPECIES
C 12.01 C.upf
Na 22.99 Na.upf
Te 127.60 Te.upf
CELL_PARAMETERS angstrom
-3.642 -5.832 1.851
5.990 -3.839 -0.311
0.860 0.960 4.717
ATOMIC_POSITIONS angstrom
C 1.174 -4.836 0.770
C 0.000 0.000 0.000
Na 3.778 -2.895 2.435
Na 0.058 -2.136 2.959
Na 3.149 -6.575 3.299
Na -0.571 -5.816 3.823
Te 3.755 -5.050 0.343
Te 1.051 -7.400 1.315
Te -1.407 -4.622 1.197
Te 1.296 -2.271 0.226
```